(1)
The following is a DFT calculation (PBE) of CdBRh3 after structural relaxation.

Lattice parameters (Å, degrees): 10.929 10.929 10.929 90.00 90.00 90.00
Space group Fd-3m (No. 227, origin choice 2)
Unique sites:
Cd: 0.000 0.000 0.000
B: 0.000 0.000 0.500
Rh: 0.066 0.375 0.875

Properties
ΔH_f (0 K): 0 kJ/mol of formula units
Energy relative to the lowest polymorph listed for this composition: 211 meV/atom



(2)
The following is a DFT calculation (PBE) of CdIr2 after structural relaxation.

Lattice parameters (Å, degrees): 3.958 12.076 4.050 90.00 90.00 90.00
Space group Cmcm (No. 63)
Unique sites:
Cd: 0.000 0.083 0.250
Ir: 0.000 0.246 0.750
Ir: 0.000 0.409 0.250

Properties
ΔH_f (0 K): 91 kJ/mol of formula units



(3)
The following is a DFT calculation (PBE) of SmScCd5 after structural relaxation.

Lattice parameters (Å, degrees): 5.045 5.045 6.882 90.00 90.00 90.00
Space group P4/mmm (No. 123)
Unique sites:
Sm: 0.000 0.000 0.000
Sc: 0.500 0.500 0.500
Cd: 0.000 0.500 0.281
Cd: 0.500 0.500 0.000

Properties
ΔH_f (0 K): -70 kJ/mol of formula units



(4)
The following is a DFT calculation (PBE) of CaHgH3 after structural relaxation.

Lattice parameters (Å, degrees): 4.045 4.045 4.045 90.00 90.00 90.00
Space group Pm-3m (No. 221)
Unique sites:
Ca: 0.000 0.000 0.000
Hg: 0.500 0.500 0.500
H: 0.000 0.500 0.500

Properties
Energy relative to the lowest polymorph listed for this composition: 0 meV/atom



(5)
The following is a DFT calculation (PBE) of HfVAs after structural relaxation.

Lattice parameters (Å, degrees): 3.496 8.879 6.768 90.00 90.00 90.00
Space group Pmc2_1 (No. 26)
Unique sites:
Hf: 0.000 0.054 0.000
Hf: 0.000 0.358 0.625
V: 0.500 0.167 0.303
V: 0.500 0.317 0.003
As: 0.500 0.126 0.702
As: 0.500 0.443 0.322

Properties
ΔH_f (0 K): -140 kJ/mol of formula units



(6)
The following is a DFT calculation (PBE) of Ba3Hg2Bi after structural relaxation.

Lattice parameters (Å, degrees): 10.419 18.139 6.036 90.00 125.33 90.00
Space group C2/m (No. 12)
Unique sites:
Ba: 0.247 0.000 0.247
Ba: 0.248 0.166 0.748
Hg: 0.000 0.000 0.500
Hg: 0.000 0.159 0.000
Hg: 0.000 0.500 0.000
Bi: 0.000 0.334 0.500

Properties
ΔH_f (0 K): -390 kJ/mol of formula units



(7)
The following is a DFT calculation (PBE) of Ba2SrMn after structural relaxation.

Lattice parameters (Å, degrees): 8.805 8.805 8.805 90.00 90.00 90.00
Space group F-43m (No. 216)
Unique sites:
Ba: 0.000 0.000 0.000
Ba: 0.250 0.250 0.250
Sr: 0.000 0.000 0.500
Mn: 0.250 0.250 0.750

Properties
ΔH_f (0 K): 178 kJ/mol of formula units
Energy relative to the lowest polymorph listed for this composition: 140 meV/atom



(8)
The following is a DFT calculation (PBE) of Mg2CrSbS after structural relaxation.

Lattice parameters (Å, degrees): 4.860 4.860 4.298 90.00 90.00 90.00
Space group P4/mmm (No. 123)
Unique sites:
Mg: 0.000 0.500 0.000
Cr: 0.000 0.000 0.500
Sb: 0.500 0.500 0.500
S: 0.000 0.000 0.000

Properties
Formation energy (no corrections): 0.035 eV/atom